No. 1
## TlGaF3 (PBE)

Data for a relaxed structure of TlGaF3.

Results
raw total energy	-4.3206	eV/atom
total magnetization	0.000	μB/cell

abc: 8.1203 11.5999 4.4609
angles: 90.00 111.82 90.00
Space group Cm (No. 8)
Asymmetric unit:
Tl  0.0000  0.1934  0.0000 x4
Ga  0.1111  0.5000  0.2590 x2
Ga  0.3865  0.0000  0.7284 x2
F  0.2123  0.1168  0.6411 x4
F  0.2851  0.3831  0.3471 x4
F  0.4983  0.1068  0.4928 x4

=====

No. 2
## TlGaF2 (PBE)

Data for a relaxed structure of TlGaF2.

Results
energy above the most stable polymorph in this dataset	0.143	eV/atom
total magnetization	0.000	μB/cell

abc: 5.7554 5.7554 12.2736
angles: 90.00 90.00 90.00
Space group I-42d (No. 122)
Asymmetric unit:
Tl  0.0000  0.0000  0.0000 x4
Ga  0.0000  0.0000  0.5000 x4
F  0.2102  0.2500  0.6250 x8

=====

No. 3
## TlGaF2 (PBE)

Data for a relaxed structure of TlGaF2.

Results
energy above the most stable polymorph in this dataset	0.000	eV/atom
total magnetization	0.000	μB/cell

abc: 5.0894 6.2099 6.2121
angles: 119.58 92.10 91.94
Space group P1 (No. 1)
Asymmetric unit:
Tl  0.0000  0.0000  0.0000 x1
Tl  0.5000  0.3238  0.6776 x1
Ga  0.4266  0.6857  0.3291 x1
Ga  0.9268  0.6514  0.3637 x1
F  0.4057  0.3221  0.1132 x1
F  0.4363  0.7672  0.0628 x1
F  0.9056  0.4370  0.9999 x1
F  0.9375  0.3839  0.4438 x1

=====

No. 4
## Tl2Ga2F7 (PBE)

Data for a relaxed structure of Tl2Ga2F7.

Results
energy above the most stable polymorph in this dataset	0.000	eV/atom
total magnetization	0.000	μB/cell

abc: 8.3556 10.5273 5.7580
angles: 90.00 99.21 90.00
Space group C2/m (No. 12)
Asymmetric unit:
Tl  0.0000  0.2047  0.0000 x4
Ga  0.2245  0.5000  0.4352 x4
F  0.0000  0.5000  0.5000 x2
F  0.1285  0.0000  0.2888 x4
F  0.2465  0.1418  0.7409 x8

=====

No. 5
## TlGaF5 (PBE)

Data for a relaxed structure of TlGaF5.

Results
raw total energy	-4.3252	eV/atom
total magnetization	0.000	μB/cell

abc: 3.9194 6.8454 8.4329
angles: 90.00 90.00 90.00
Space group Immm (No. 71)
Asymmetric unit:
Tl  0.0000  0.0000  0.0000 x2
Ga  0.0000  0.0000  0.5000 x2
F  0.0000  0.0000  0.2785 x4
F  0.0000  0.2877  0.5000 x4
F  0.0000  0.5000  0.0000 x2

=====

No. 6
## Tl3GaF (PBE)

Data for a relaxed structure of Tl3GaF.

Results
energy above the most stable polymorph in this dataset	0.000	eV/atom
total magnetization	0.000	μB/cell

abc: 5.2294 5.2294 5.2294
angles: 90.00 90.00 90.00
Space group Pm-3m (No. 221)
Asymmetric unit:
Tl  0.0000  0.0000  0.5000 x3
Ga  0.5000  0.5000  0.5000 x1
F  0.0000  0.0000  0.0000 x1

=====

No. 7
## Tl4GaF7 (PBE)

Data for a relaxed structure of Tl4GaF7.

Results
raw total energy	-4.2180	eV/atom
total magnetization	0.000	μB/cell

abc: 19.5210 3.9983 6.4422
angles: 90.00 103.09 90.00
Space group C2/m (No. 12)
Asymmetric unit:
Tl  0.0881  0.0000  0.1153 x4
Tl  0.1932  0.0000  0.6806 x4
Ga  0.0000  0.5000  0.5000 x2
F  0.0000  0.0000  0.5000 x2
F  0.0451  0.5000  0.7930 x4
F  0.0902  0.5000  0.4252 x4
F  0.2187  0.0000  0.3076 x4

=====

No. 8
## Tl12Ga3F5 (PBE)

Data for a relaxed structure of Tl12Ga3F5.

Results
raw total energy	-2.9955	eV/atom
total magnetization	0.000	μB/cell

abc: 16.6985 16.6985 16.6985
angles: 90.00 90.00 90.00
Space group Ia-3d (No. 230)
Asymmetric unit:
Tl  0.0292  0.0628  0.6489 x96
Ga  0.0000  0.2500  0.1250 x24
F  0.0000  0.0000  0.0000 x16
F  0.0000  0.2500  0.3750 x24

=====

No. 9
## TlGaF2 (PBE)

Data for a relaxed structure of TlGaF2.

Results
energy above the most stable polymorph in this dataset	0.228	eV/atom
total magnetization	0.000	μB/cell

abc: 6.6031 6.6031 6.6031
angles: 90.00 90.00 90.00
Space group Fm-3m (No. 225)
Asymmetric unit:
Tl  0.0000  0.0000  0.0000 x4
Ga  0.0000  0.0000  0.5000 x4
F  0.2500  0.2500  0.2500 x8

=====

No. 10
## TlGaF2 (PBE)

Data for a relaxed structure of TlGaF2.

Results
energy above the most stable polymorph in this dataset	0.184	eV/atom
total magnetization	0.000	μB/cell

abc: 3.7237 3.7237 23.0691
angles: 90.00 90.00 120.00
Space group R-3m (No. 166, hexagonal axes)
Asymmetric unit:
Tl  0.0000  0.0000  0.0000 x3
Ga  0.0000  0.0000  0.5000 x3
F  0.0000  0.0000  0.4098 x6

=====

What is the total magnetization in the tenth record? 0.000 μB/cell